RbNiN2F, optimized geometry, DFT PBE with a Hubbard U; magnetization = 3.8 μB per formula unit; relative energy among the computed polymorphs = 0 meV/atom
1.0
3.702 0.000 0.000
0.000 3.702 0.000
0.000 0.000 5.731
Rb Ni N F
1 1 2 1
direct
0.000 0.000 0.000
0.500 0.500 0.500
0.000 0.500 0.500
0.500 0.000 0.500
0.500 0.500 0.000